Ba4Ir | GGA-PBE | relaxed

The structure in POSCAR format:
```
Ba4Ir
1.0
0.0000 7.6699 4.5659
7.4122 0.0000 4.5659
7.4122 7.6699 0.0000
Ba Ir
8 2
direct
0.0284 0.9716 0.8006
0.0506 0.4494 0.2784
0.4494 0.0506 0.2216
0.4534 0.5005 0.7297
0.5005 0.4534 0.3165
0.5203 0.9335 0.7966
0.9335 0.5203 0.7495
0.9716 0.0284 0.1994
0.2251 0.2251 0.7749
0.4751 0.4751 0.0249
```

Properties
E above lowest polymorph = 16 meV/atom
Magnetic moment = 0.5 μB per formula unit
Crystal system = orthorhombic
Space-group type = Fdd2